Below is CsLa2Zn2O6 after structural relaxation, with properties calculated at the PBE level.

Properties
**Raw formation energy**: -23.071 eV/f.u.
**Total moment**: 1.00 μB/cell

a b c (Å): 6.6081 6.6961 6.8601
angles (deg): 61.04 62.04 66.10
Closest atoms and distances in Å follow each position.
Space group P-1 (No. 2)
Asymmetric unit:
1 Cs 0.0000 0.0000 0.0000 (multiplicity 1)  4 O 3.06-3.07
2 La 0.3227 0.0522 0.3133 (multiplicity 2)  6 O 2.31-2.51
3 Zn 0.3097 0.5408 0.7315 (multiplicity 2)  3 O 1.84-1.92
4 O 0.0801 0.7527 0.5867 (multiplicity 2)  1 Zn 1.90
5 O 0.3837 0.2224 0.8899 (multiplicity 2)  1 Zn 1.84
6 O 0.4446 0.7801 0.6696 (multiplicity 2)  1 Zn 1.92